1.
Here is a crystal of HfTa3B relaxed with PBEsol from Alexandria via LeMat-Bulk. Energies are from meta-GGA SCAN.

Lattice parameters (Å, degrees): 4.785 4.785 4.785 90.00 90.00 90.00
Fractional positions:
1 Ta 0.000 0.500 0.000
2 Ta 0.000 0.000 0.500
3 Ta 0.500 0.000 0.000
4 Hf 0.000 0.000 0.000
5 B 0.500 0.500 0.500

Output
DFT formation energy: 2.828 eV per atom



2.
Here is a crystal of Li6Mn3Cr2Fe3O16 relaxed with PBEsol from Alexandria via LeMat-Bulk. Energies are from meta-GGA SCAN.

Lattice parameters (Å, degrees): 5.572 5.573 9.252 89.72 89.72 60.01
Fractional positions:
1 O 0.516 0.516 0.342
2 O 0.159 0.159 0.097
3 O 0.320 0.840 0.595
4 O 0.486 0.030 0.842
5 O 0.161 0.677 0.095
6 O 0.000 0.000 0.823
7 O 0.000 0.000 0.320
8 O 0.484 0.484 0.841
9 O 0.336 0.336 0.598
10 O 0.970 0.517 0.342
11 O 0.030 0.486 0.842
12 O 0.669 0.669 0.096
13 O 0.677 0.161 0.095
14 O 0.839 0.839 0.594
15 O 0.840 0.320 0.595
16 O 0.517 0.970 0.342
17 Li 0.338 0.831 0.948
18 Li 0.168 0.168 0.446
19 Li 0.831 0.338 0.948
20 Li 0.830 0.830 0.947
21 Li 0.170 0.662 0.445
22 Li 0.662 0.170 0.445
23 Fe 0.171 0.171 0.714
24 Fe 0.826 0.345 0.214
25 Fe 0.345 0.826 0.214
26 Mn 0.830 0.830 0.214
27 Mn 0.168 0.661 0.714
28 Mn 0.662 0.168 0.714
29 Cr 0.332 0.332 0.991
30 Cr 0.666 0.666 0.489

Output
Formation energy (no corrections): -2125 meV/atom



3.
Here is a crystal of CoSb2TeH relaxed with PBEsol from Alexandria via LeMat-Bulk. Energies are from meta-GGA SCAN.

Lattice parameters (Å, degrees): 4.248 4.248 5.280 90.00 90.00 90.00
Fractional positions:
1 Sb 0.000 0.500 0.000
2 Sb 0.500 0.000 0.000
3 Te 0.000 0.000 0.500
4 H 0.000 0.000 0.000
5 Co 0.500 0.500 0.500

Output
Total DFT energy (no corrections): -1.892 Ry/atom



4.
Here is a crystal of LiTlBi3 relaxed with PBEsol from Alexandria via LeMat-Bulk. Energies are from meta-GGA SCAN.

Lattice parameters (Å, degrees): 5.813 5.813 5.813 90.00 90.00 90.00
Fractional positions:
1 Bi 0.000 0.000 0.500
2 Bi 0.000 0.500 0.000
3 Bi 0.500 0.000 0.000
4 Tl 0.000 0.000 0.000
5 Li 0.500 0.500 0.500

Output
DFT formation energy: 0.656 eV per atom



5.
Here is a crystal of MnHg2HPd relaxed with PBEsol from Alexandria via LeMat-Bulk. Energies are from meta-GGA SCAN.

Lattice parameters (Å, degrees): 3.179 5.215 5.215 90.00 90.00 90.00
Fractional positions:
1 Mn 0.500 0.500 0.500
2 Hg 0.000 0.000 0.500
3 Hg 0.000 0.500 0.000
4 H 0.500 0.000 0.000
5 Pd 0.000 0.000 0.000

Output
Total DFT energy (no corrections): -2.795 Ry/atom



6.
Here is a crystal of Sb2Te relaxed with PBEsol from Alexandria via LeMat-Bulk. Energies are from meta-GGA SCAN.

Lattice parameters (Å, degrees): 6.107 6.270 6.270 76.28 60.86 60.86
Fractional positions:
1 Sb 0.875 0.250 0.250
2 Sb 0.875 0.250 0.750
3 Sb 0.875 0.750 0.250
4 Sb 0.375 0.750 0.750
5 Te 0.500 0.000 0.000
6 Te 0.250 0.500 0.500

Output
Distance to the lowest polymorph of the same formula: 35 meV/atom
Formation energy (no corrections): 30 meV/atom



7.
Here is a crystal of ScBe2Cr relaxed with PBEsol from Alexandria via LeMat-Bulk. Energies are from meta-GGA SCAN.

Lattice parameters (Å, degrees): 2.990 3.534 5.083 90.00 107.10 90.00
Fractional positions:
1 Be 0.795 0.000 0.591
2 Be 0.680 0.500 0.361
3 Sc 0.416 0.500 0.833
4 Cr 0.105 0.000 0.210

Output
DFT formation energy: 0.046 eV per atom



8.
Here is a crystal of CuP4Ir relaxed with PBEsol from Alexandria via LeMat-Bulk. Energies are from meta-GGA SCAN.

Lattice parameters (Å, degrees): 4.880 4.880 4.880 60.00 60.00 60.00
Fractional positions:
1 P 0.136 0.621 0.621
2 P 0.621 0.621 0.136
3 P 0.621 0.621 0.621
4 P 0.621 0.136 0.621
5 Ir 0.000 0.000 0.000
6 Cu 0.250 0.250 0.250

Output
DFT formation energy: 1.033 eV per atom



9.
Here is a crystal of LiMnPb relaxed with PBEsol from Alexandria via LeMat-Bulk. Energies are from meta-GGA SCAN.

Lattice parameters (Å, degrees): 3.196 3.196 6.986 90.00 90.00 120.00
Fractional positions:
1 Mn 0.333 0.667 0.671
2 Li 0.000 0.000 0.992
3 Pb 0.667 0.333 0.337

Output
DFT formation energy: 0.077 eV per atom



10.
Here is a crystal of PtPbCl3 relaxed with PBEsol from Alexandria via LeMat-Bulk. Energies are from meta-GGA SCAN.

Lattice parameters (Å, degrees): 5.343 5.343 5.343 90.00 90.00 90.00
Fractional positions:
1 Pb 0.000 0.000 0.000
2 Cl 0.000 0.500 0.000
3 Cl 0.000 0.000 0.500
4 Cl 0.500 0.000 0.000
5 Pt 0.500 0.500 0.500

Output
Formation energy (no corrections): 373 meV/atom



11.
Here is a crystal of Sc3SiHg relaxed with PBEsol from Alexandria via LeMat-Bulk. Energies are from meta-GGA SCAN.

Lattice parameters (Å, degrees): 4.938 4.938 4.938 90.00 90.00 90.00
Fractional positions:
1 Sc 0.000 0.000 0.500
2 Sc 0.500 0.000 0.000
3 Sc 0.000 0.500 0.000
4 Si 0.000 0.000 0.000
5 Hg 0.500 0.500 0.500

Output
Formation energy (no corrections): -207 meV/atom



12.
Here is a crystal of GePbS3 relaxed with PBEsol from Alexandria via LeMat-Bulk. Energies are from meta-GGA SCAN.

Lattice parameters (Å, degrees): 6.823 7.203 10.301 90.00 90.00 105.29
Fractional positions:
1 S 0.588 0.269 0.003
2 S 0.413 0.559 0.677
3 S 0.811 0.019 0.783
4 S 0.311 0.019 0.717
5 S 0.913 0.559 0.823
6 S 0.087 0.441 0.177
7 S 0.412 0.731 0.997
8 S 0.088 0.269 0.497
9 S 0.689 0.981 0.283
10 S 0.587 0.441 0.323
11 S 0.189 0.981 0.217
12 S 0.912 0.731 0.503
13 Ge 0.992 0.821 0.704
14 Ge 0.492 0.821 0.796
15 Ge 0.008 0.179 0.296
16 Ge 0.508 0.179 0.204
17 Pb 0.278 0.638 0.416
18 Pb 0.722 0.362 0.584
19 Pb 0.778 0.638 0.084
20 Pb 0.222 0.362 0.916

Output
Formation energy (no corrections): -481 meV/atom